(1)
SmGa2Bi | PBE | optimized geometry

abc: 4.6805 4.6805 4.4186
angles: 90.00 90.00 90.00
Sites, in units of the cell vectors:
Sm  0.0000  0.0000  0.0000
Ga  0.0000  0.5000  0.5000
Ga  0.5000  0.0000  0.5000
Bi  0.5000  0.5000  0.0000

Output
* mass density: 8.56 g/cm3
* ΔH_f (0 K): -0.452 eV/atom
* total magnetization: 0.00 μB/f.u.
* polymorph energy (0 for the lowest one): 0.000 eV/atom



(2)
Sm3GaBi | PBE | optimized geometry

abc: 5.6374 6.4223 8.6855
angles: 90.00 90.10 90.00
Sites, in units of the cell vectors:
Sm  0.0000  0.0000  0.0000
Sm  0.0000  0.5000  0.0000
Sm  0.0009  0.2500  0.3643
Sm  0.4989  0.2500  0.7413
Sm  0.5011  0.7500  0.2587
Sm  0.9991  0.7500  0.6357
Ga  0.0013  0.7500  0.3019
Ga  0.9987  0.2500  0.6981
Bi  0.5004  0.2500  0.1505
Bi  0.4996  0.7500  0.8495

Output
* mass density: 7.71 g/cm3
* ΔH_f (0 K): -0.516 eV/atom
* total magnetization: 0.00 μB/f.u.



(3)
Sm5Ga2Bi2 | PBE | optimized geometry

abc: 8.9436 8.9436 8.1760
angles: 90.00 90.00 54.43
Sites, in units of the cell vectors:
Sm  0.0000  0.0000  0.0000
Sm  0.0433  0.6991  0.6704
Sm  0.1991  0.5433  0.1704
Sm  0.3009  0.9567  0.6704
Sm  0.4567  0.8009  0.1704
Sm  0.5000  0.5000  0.5000
Sm  0.5433  0.1991  0.8296
Sm  0.6991  0.0433  0.3296
Sm  0.8009  0.4567  0.8296
Sm  0.9567  0.3009  0.3296
Ga  0.1221  0.8779  0.3791
Ga  0.3779  0.6221  0.8791
Ga  0.6221  0.3779  0.1209
Ga  0.8779  0.1221  0.6209
Bi  0.2075  0.2075  0.0000
Bi  0.2925  0.2925  0.5000
Bi  0.7075  0.7075  0.5000
Bi  0.7925  0.7925  0.0000

Output
* mass density: 8.17 g/cm3
* ΔH_f (0 K): -0.710 eV/atom
* total magnetization: 0.00 μB/f.u.



(4)
SmGa2Bi | PBE | optimized geometry

abc: 5.2796 5.2796 12.6317
angles: 90.00 90.00 120.00
Sites, in units of the cell vectors:
Sm  0.0000  0.0000  0.0000
Sm  0.3333  0.6667  0.6667
Sm  0.6667  0.3333  0.3333
Ga  0.0000  0.0000  0.2501
Ga  0.0000  0.0000  0.7499
Ga  0.3333  0.6667  0.4165
Ga  0.3333  0.6667  0.9168
Ga  0.6667  0.3333  0.0832
Ga  0.6667  0.3333  0.5835
Bi  0.0000  0.0000  0.5000
Bi  0.3333  0.6667  0.1667
Bi  0.6667  0.3333  0.8333

Output
* mass density: 8.15 g/cm3
* ΔH_f (0 K): -0.210 eV/atom
* total magnetization: 0.00 μB/f.u.
* polymorph energy (0 for the lowest one): 0.243 eV/atom



(5)
GaSn2Bi | PBE | optimized geometry

abc: 5.0894 5.0894 4.2227
angles: 90.00 90.00 90.00
Sites, in units of the cell vectors:
Ga  0.0000  0.0000  0.0000
Sn  0.0000  0.5000  0.5000
Sn  0.5000  0.0000  0.5000
Bi  0.5000  0.5000  0.0000

Output
* mass density: 7.84 g/cm3
* ΔH_f (0 K): 0.079 eV/atom
* total magnetization: 0.00 μB/f.u.
* polymorph energy (0 for the lowest one): 0.034 eV/atom



(6)
Ga12Sn5Bi3 | PBE | optimized geometry

abc: 14.4433 14.4433 14.4433
angles: 109.47 109.47 109.47
Sites, in units of the cell vectors:
Ga  0.0600  0.2263  0.1398
Ga  0.0600  0.3337  0.9201
Ga  0.0799  0.6398  0.4135
Ga  0.0799  0.9400  0.6663
Ga  0.0865  0.7263  0.6663
Ga  0.0865  0.8602  0.4201
Ga  0.1398  0.0600  0.2263
Ga  0.1398  0.5799  0.9135
Ga  0.1663  0.2263  0.5865
Ga  0.1663  0.4400  0.5799
Ga  0.2263  0.1398  0.0600
Ga  0.2263  0.5865  0.1663
Ga  0.2737  0.3337  0.9135
Ga  0.2737  0.4400  0.3602
Ga  0.3337  0.9135  0.2737
Ga  0.3337  0.9201  0.0600
Ga  0.3602  0.2737  0.4400
Ga  0.3602  0.5865  0.9201
Ga  0.4135  0.0799  0.6398
Ga  0.4135  0.8337  0.7737
Ga  0.4201  0.0865  0.8602
Ga  0.4201  0.8337  0.5600
Ga  0.4400  0.3602  0.2737
Ga  0.4400  0.5799  0.1663
Ga  0.5600  0.4201  0.8337
Ga  0.5600  0.6398  0.7263
Ga  0.5799  0.1663  0.4400
Ga  0.5799  0.9135  0.1398
Ga  0.5865  0.1663  0.2263
Ga  0.5865  0.9201  0.3602
Ga  0.6398  0.4135  0.0799
Ga  0.6398  0.7263  0.5600
Ga  0.6663  0.0799  0.9400
Ga  0.6663  0.0865  0.7263
Ga  0.7263  0.5600  0.6398
Ga  0.7263  0.6663  0.0865
Ga  0.7737  0.4135  0.8337
Ga  0.7737  0.8602  0.9400
Ga  0.8337  0.5600  0.4201
Ga  0.8337  0.7737  0.4135
Ga  0.8602  0.4201  0.0865
Ga  0.8602  0.9400  0.7737
Ga  0.9135  0.1398  0.5799
Ga  0.9135  0.2737  0.3337
Ga  0.9201  0.0600  0.3337
Ga  0.9201  0.3602  0.5865
Ga  0.9400  0.6663  0.0799
Ga  0.9400  0.7737  0.8602
Sn  0.0000  0.0000  0.0000
Sn  0.0000  0.0000  0.5000
Sn  0.0000  0.5000  0.0000
Sn  0.0000  0.5000  0.5000
Sn  0.1250  0.7500  0.8750
Sn  0.1250  0.8750  0.2500
Sn  0.2500  0.1250  0.8750
Sn  0.2500  0.6250  0.3750
Sn  0.3750  0.2500  0.6250
Sn  0.3750  0.6250  0.7500
Sn  0.5000  0.0000  0.0000
Sn  0.5000  0.0000  0.5000
Sn  0.5000  0.5000  0.0000
Sn  0.5000  0.5000  0.5000
Sn  0.6250  0.3750  0.2500
Sn  0.6250  0.7500  0.3750
Sn  0.7500  0.3750  0.6250
Sn  0.7500  0.8750  0.1250
Sn  0.8750  0.1250  0.7500
Sn  0.8750  0.2500  0.1250
Bi  0.1250  0.2500  0.3750
Bi  0.1250  0.3750  0.7500
Bi  0.2500  0.3750  0.1250
Bi  0.2500  0.8750  0.6250
Bi  0.3750  0.1250  0.2500
Bi  0.3750  0.7500  0.1250
Bi  0.6250  0.2500  0.8750
Bi  0.6250  0.8750  0.7500
Bi  0.7500  0.1250  0.3750
Bi  0.7500  0.6250  0.8750
Bi  0.8750  0.6250  0.2500
Bi  0.8750  0.7500  0.6250

Output
* mass density: 5.89 g/cm3
* ΔH_f (0 K): 0.192 eV/atom
* total magnetization: 0.00 μB/f.u.



(7)
Ga5Sn12Bi3 | PBE | optimized geometry

abc: 14.8980 14.8980 14.8980
angles: 109.47 109.47 109.47
Sites, in units of the cell vectors:
Ga  0.0000  0.0000  0.0000
Ga  0.0000  0.0000  0.5000
Ga  0.0000  0.5000  0.0000
Ga  0.0000  0.5000  0.5000
Ga  0.1250  0.7500  0.8750
Ga  0.1250  0.8750  0.2500
Ga  0.2500  0.1250  0.8750
Ga  0.2500  0.6250  0.3750
Ga  0.3750  0.2500  0.6250
Ga  0.3750  0.6250  0.7500
Ga  0.5000  0.0000  0.0000
Ga  0.5000  0.0000  0.5000
Ga  0.5000  0.5000  0.0000
Ga  0.5000  0.5000  0.5000
Ga  0.6250  0.3750  0.2500
Ga  0.6250  0.7500  0.3750
Ga  0.7500  0.3750  0.6250
Ga  0.7500  0.8750  0.1250
Ga  0.8750  0.1250  0.7500
Ga  0.8750  0.2500  0.1250
Sn  0.0445  0.2145  0.1266
Sn  0.0445  0.3300  0.9179
Sn  0.0821  0.6266  0.4121
Sn  0.0821  0.9555  0.6700
Sn  0.0879  0.7145  0.6700
Sn  0.0879  0.8734  0.4179
Sn  0.1266  0.0445  0.2145
Sn  0.1266  0.5821  0.9121
Sn  0.1700  0.2145  0.5879
Sn  0.1700  0.4555  0.5821
Sn  0.2145  0.1266  0.0445
Sn  0.2145  0.5879  0.1700
Sn  0.2855  0.3300  0.9121
Sn  0.2855  0.4555  0.3734
Sn  0.3300  0.9121  0.2855
Sn  0.3300  0.9179  0.0445
Sn  0.3734  0.2855  0.4555
Sn  0.3734  0.5879  0.9179
Sn  0.4121  0.0821  0.6266
Sn  0.4121  0.8300  0.7855
Sn  0.4179  0.0879  0.8734
Sn  0.4179  0.8300  0.5445
Sn  0.4555  0.3734  0.2855
Sn  0.4555  0.5821  0.1700
Sn  0.5445  0.4179  0.8300
Sn  0.5445  0.6266  0.7145
Sn  0.5821  0.1700  0.4555
Sn  0.5821  0.9121  0.1266
Sn  0.5879  0.1700  0.2145
Sn  0.5879  0.9179  0.3734
Sn  0.6266  0.4121  0.0821
Sn  0.6266  0.7145  0.5445
Sn  0.6700  0.0821  0.9555
Sn  0.6700  0.0879  0.7145
Sn  0.7145  0.5445  0.6266
Sn  0.7145  0.6700  0.0879
Sn  0.7855  0.4121  0.8300
Sn  0.7855  0.8734  0.9555
Sn  0.8300  0.5445  0.4179
Sn  0.8300  0.7855  0.4121
Sn  0.8734  0.4179  0.0879
Sn  0.8734  0.9555  0.7855
Sn  0.9121  0.1266  0.5821
Sn  0.9121  0.2855  0.3300
Sn  0.9179  0.0445  0.3300
Sn  0.9179  0.3734  0.5879
Sn  0.9555  0.6700  0.0821
Sn  0.9555  0.7855  0.8734
Bi  0.1250  0.2500  0.3750
Bi  0.1250  0.3750  0.7500
Bi  0.2500  0.3750  0.1250
Bi  0.2500  0.8750  0.6250
Bi  0.3750  0.1250  0.2500
Bi  0.3750  0.7500  0.1250
Bi  0.6250  0.2500  0.8750
Bi  0.6250  0.8750  0.7500
Bi  0.7500  0.1250  0.3750
Bi  0.7500  0.6250  0.8750
Bi  0.8750  0.6250  0.2500
Bi  0.8750  0.7500  0.6250

Output
* mass density: 6.26 g/cm3
* ΔH_f (0 K): 0.221 eV/atom
* total magnetization: 0.00 μB/f.u.



(8)
Ga2SnBi | PBE | optimized geometry

abc: 5.7627 4.2415 8.7094
angles: 90.00 92.12 90.00
Sites, in units of the cell vectors:
Ga  0.1252  0.2500  0.4123
Ga  0.3631  0.7500  0.5555
Ga  0.6369  0.2500  0.4445
Ga  0.8748  0.7500  0.5877
Sn  0.4703  0.7500  0.2006
Sn  0.5297  0.2500  0.7994
Bi  0.1435  0.7500  0.8910
Bi  0.8565  0.2500  0.1090

Output
* mass density: 7.29 g/cm3
* ΔH_f (0 K): 0.073 eV/atom
* total magnetization: 0.00 μB/f.u.
* polymorph energy (0 for the lowest one): 0.000 eV/atom



(9)
GaSn4Bi | PBE | optimized geometry

abc: 6.2657 6.2657 6.2657
angles: 60.00 60.00 60.00
Sites, in units of the cell vectors:
Ga  0.0000  0.0000  0.0000
Sn  0.3746  0.3746  0.3746
Sn  0.3746  0.3746  0.8763
Sn  0.3746  0.8763  0.3746
Sn  0.8763  0.3746  0.3746
Bi  0.7500  0.7500  0.7500

Output
* mass density: 7.19 g/cm3
* ΔH_f (0 K): 0.200 eV/atom
* total magnetization: 0.00 μB/f.u.



(10)
Ga2SnBi | PBE | optimized geometry

abc: 6.3739 6.3739 12.5288
angles: 90.00 90.00 90.00
Sites, in units of the cell vectors:
Ga  0.2372  0.2500  0.1250
Ga  0.2500  0.7372  0.3750
Ga  0.2500  0.7628  0.8750
Ga  0.2628  0.2500  0.6250
Ga  0.7372  0.7500  0.6250
Ga  0.7500  0.2372  0.8750
Ga  0.7500  0.2628  0.3750
Ga  0.7628  0.7500  0.1250
Sn  0.0000  0.0000  0.0000
Sn  0.0000  0.5000  0.2500
Sn  0.5000  0.0000  0.7500
Sn  0.5000  0.5000  0.5000
Bi  0.0000  0.0000  0.5000
Bi  0.0000  0.5000  0.7500
Bi  0.5000  0.0000  0.2500
Bi  0.5000  0.5000  0.0000

Output
* mass density: 6.10 g/cm3
* ΔH_f (0 K): 0.072 eV/atom
* total magnetization: 0.00 μB/f.u.
* polymorph energy (0 for the lowest one): 0.000 eV/atom



(11)
GaSnBi | PBE | optimized geometry

abc: 7.0716 7.0716 7.0716
angles: 90.00 90.00 90.00
Sites, in units of the cell vectors:
Ga  0.0000  0.0000  0.0000
Ga  0.0000  0.5000  0.5000
Ga  0.5000  0.0000  0.5000
Ga  0.5000  0.5000  0.0000
Sn  0.2500  0.2500  0.2500
Sn  0.2500  0.7500  0.7500
Sn  0.7500  0.2500  0.7500
Sn  0.7500  0.7500  0.2500
Bi  0.2500  0.2500  0.7500
Bi  0.2500  0.7500  0.2500
Bi  0.7500  0.2500  0.2500
Bi  0.7500  0.7500  0.7500

Output
* mass density: 7.46 g/cm3
* ΔH_f (0 K): 0.108 eV/atom
* total magnetization: 0.00 μB/f.u.
* polymorph energy (0 for the lowest one): 0.036 eV/atom



(12)
Ga2SnBi | PBE | optimized geometry

abc: 7.3490 7.3490 7.3490
angles: 90.00 90.00 90.00
Sites, in units of the cell vectors:
Ga  0.2500  0.2500  0.2500
Ga  0.2500  0.2500  0.7500
Ga  0.2500  0.7500  0.2500
Ga  0.2500  0.7500  0.7500
Ga  0.7500  0.2500  0.2500
Ga  0.7500  0.2500  0.7500
Ga  0.7500  0.7500  0.2500
Ga  0.7500  0.7500  0.7500
Sn  0.0000  0.0000  0.0000
Sn  0.0000  0.5000  0.5000
Sn  0.5000  0.0000  0.5000
Sn  0.5000  0.5000  0.0000
Bi  0.0000  0.0000  0.5000
Bi  0.0000  0.5000  0.0000
Bi  0.5000  0.0000  0.0000
Bi  0.5000  0.5000  0.5000

Output
* mass density: 7.82 g/cm3
* ΔH_f (0 K): 0.101 eV/atom
* total magnetization: 0.00 μB/f.u.
* polymorph energy (0 for the lowest one): 0.028 eV/atom



(13)
GaSn2Bi | PBE | optimized geometry

abc: 4.0679 4.0679 6.5879
angles: 90.00 90.00 90.00
Sites, in units of the cell vectors:
Ga  0.0000  0.0000  0.0000
Sn  0.5000  0.5000  0.2363
Sn  0.5000  0.5000  0.7637
Bi  0.0000  0.0000  0.5000

Output
* mass density: 7.86 g/cm3
* ΔH_f (0 K): 0.098 eV/atom
* total magnetization: 0.00 μB/f.u.
* polymorph energy (0 for the lowest one): 0.053 eV/atom



(14)
Ga2SnBi | PBE | optimized geometry

abc: 4.4105 4.4105 19.0277
angles: 90.00 90.00 120.00
Sites, in units of the cell vectors:
Ga  0.0000  0.0000  0.0000
Ga  0.0000  0.0000  0.1570
Ga  0.3333  0.6667  0.6667
Ga  0.3333  0.6667  0.8236
Ga  0.6667  0.3333  0.3333
Ga  0.6667  0.3333  0.4903
Sn  0.0000  0.0000  0.4066
Sn  0.3333  0.6667  0.0733
Sn  0.6667  0.3333  0.7399
Bi  0.0000  0.0000  0.5810
Bi  0.3333  0.6667  0.2476
Bi  0.6667  0.3333  0.9143

Output
* mass density: 7.26 g/cm3
* ΔH_f (0 K): 0.087 eV/atom
* total magnetization: 0.00 μB/f.u.
* polymorph energy (0 for the lowest one): 0.015 eV/atom